Below is a geometry-optimized AcHI structure, with properties calculated at the GGA-PBE level.

```
data_AcHI
_cell_length_a 4.378
_cell_length_b 4.378
_cell_length_c 11.715
_cell_angle_alpha 79.23
_cell_angle_beta 79.23
_cell_angle_gamma 60.00
_symmetry_space_group_name_H-M 'P 1'
_symmetry_Int_Tables_number 1
loop_
_symmetry_equiv_pos_as_xyz
'x,y,z'
loop_
_atom_site_label
_atom_site_fract_x
_atom_site_fract_y
_atom_site_fract_z
I1 0.610 0.610 0.170
I2 0.390 0.390 0.830
H1 0.805 0.805 0.586
H2 0.195 0.195 0.414
Ac1 0.122 0.122 0.634
Ac2 0.878 0.878 0.366
```

Values from the calculation:
Calculated total energy, eV per atom: -4.0230
Space-group type: R-3m
Energy above the lowest structure with this stoichiometry, meV per atom: 0



Below is a geometry-optimized Ac7Ga2Ni2 structure, with properties calculated at the GGA-PBE level.

```
data_Ac7Ga2Ni2
_cell_length_a 7.366
_cell_length_b 7.448
_cell_length_c 7.366
_cell_angle_alpha 90.00
_cell_angle_beta 111.17
_cell_angle_gamma 90.00
_symmetry_space_group_name_H-M 'P 1'
_symmetry_Int_Tables_number 1
loop_
_symmetry_equiv_pos_as_xyz
'x,y,z'
loop_
_atom_site_label
_atom_site_fract_x
_atom_site_fract_y
_atom_site_fract_z
Ac1 0.000 0.256 0.500
Ac2 0.000 0.000 0.000
Ac3 0.500 0.748 0.500
Ac4 0.500 0.744 0.000
Ac5 0.500 0.256 0.000
Ac6 0.000 0.744 0.500
Ac7 0.500 0.252 0.500
Ni1 0.699 0.000 0.301
Ni2 0.301 0.000 0.699
Ga1 0.845 0.500 0.845
Ga2 0.155 0.500 0.155
```

Values from the calculation:
Calculated total energy, eV per atom: -4.3720
Space-group type: Cmmm
ΔE_f, meV/atom: -156.0



Below is a geometry-optimized CaTbCe2N4 structure, with properties calculated at the GGA-PBE level.

```
data_CaTbCe2N4
_cell_length_a 3.557
_cell_length_b 6.096
_cell_length_c 6.161
_cell_angle_alpha 70.50
_cell_angle_beta 90.00
_cell_angle_gamma 90.00
_symmetry_space_group_name_H-M 'P 1'
_symmetry_Int_Tables_number 1
loop_
_symmetry_equiv_pos_as_xyz
'x,y,z'
loop_
_atom_site_label
_atom_site_fract_x
_atom_site_fract_y
_atom_site_fract_z
N1 0.500 0.756 0.255
N2 0.500 0.244 0.745
N3 0.000 0.769 0.736
N4 0.000 0.231 0.264
Ca1 0.500 0.500 0.000
Tb1 0.000 0.500 0.500
Ce1 0.500 0.000 0.500
Ce2 0.000 0.000 0.000
```

Values from the calculation:
Calculated total energy, eV per atom: -7.9072
Formation energy (no corrections), eV per atom: -1.4321
Space-group type: P2/m



Below is a geometry-optimized Zn3RhAu structure, with properties calculated at the GGA-PBE level.

```
data_Zn3RhAu
_cell_length_a 4.725
_cell_length_b 4.725
_cell_length_c 4.725
_cell_angle_alpha 90.00
_cell_angle_beta 90.00
_cell_angle_gamma 90.00
_symmetry_space_group_name_H-M 'P 1'
_symmetry_Int_Tables_number 1
loop_
_symmetry_equiv_pos_as_xyz
'x,y,z'
loop_
_atom_site_label
_atom_site_fract_x
_atom_site_fract_y
_atom_site_fract_z
Au1 0.500 0.500 0.500
Zn1 0.500 0.000 0.000
Zn2 0.000 0.500 0.000
Zn3 0.000 0.000 0.500
Rh1 0.000 0.000 0.000
```

Values from the calculation:
Calculated total energy, eV per atom: -2.5763
Space-group type: Pm-3m
ΔE_f, meV/atom: 313.9
Energy above the lowest structure with this stoichiometry, meV per atom: 533



Below is a geometry-optimized PmThN2 structure, with properties calculated at the GGA-PBE level.

```
data_PmThN2
_cell_length_a 3.597
_cell_length_b 3.597
_cell_length_c 6.506
_cell_angle_alpha 73.95
_cell_angle_beta 73.95
_cell_angle_gamma 60.00
_symmetry_space_group_name_H-M 'P 1'
_symmetry_Int_Tables_number 1
loop_
_symmetry_equiv_pos_as_xyz
'x,y,z'
loop_
_atom_site_label
_atom_site_fract_x
_atom_site_fract_y
_atom_site_fract_z
N1 0.080 0.080 0.761
N2 0.257 0.257 0.228
Pm1 0.495 0.495 0.516
Th1 0.668 0.668 0.996
```

Values from the calculation:
Calculated total energy, eV per atom: -8.5251
Formation energy (no corrections), eV per atom: -1.3198
Space-group type: R3m
Energy above the lowest structure with this stoichiometry, meV per atom: 231



Below is a geometry-optimized ZnGaClF2 structure, with properties calculated at the GGA-PBE level.

```
data_ZnGaClF2
_cell_length_a 4.124
_cell_length_b 5.040
_cell_length_c 4.124
_cell_angle_alpha 90.00
_cell_angle_beta 90.00
_cell_angle_gamma 90.00
_symmetry_space_group_name_H-M 'P 1'
_symmetry_Int_Tables_number 1
loop_
_symmetry_equiv_pos_as_xyz
'x,y,z'
loop_
_atom_site_label
_atom_site_fract_x
_atom_site_fract_y
_atom_site_fract_z
F1 0.500 0.000 0.000
F2 0.000 0.000 0.500
Zn1 0.000 0.000 0.000
Ga1 0.500 0.500 0.500
Cl1 0.000 0.500 0.000
```

Values from the calculation:
Calculated total energy, eV per atom: -3.5475
Formation energy (no corrections), eV per atom: -1.5694
Space-group type: P4/mmm



Below is a geometry-optimized Pm3Te2N2 structure, with properties calculated at the GGA-PBE level.

```
data_Pm3Te2N2
_cell_length_a 4.026
_cell_length_b 6.833
_cell_length_c 7.425
_cell_angle_alpha 67.21
_cell_angle_beta 74.27
_cell_angle_gamma 72.87
_symmetry_space_group_name_H-M 'P 1'
_symmetry_Int_Tables_number 1
loop_
_symmetry_equiv_pos_as_xyz
'x,y,z'
loop_
_atom_site_label
_atom_site_fract_x
_atom_site_fract_y
_atom_site_fract_z
Te1 0.573 0.208 0.646
Te2 0.427 0.792 0.354
Pm1 0.000 0.000 0.000
Pm2 0.801 0.616 0.783
Pm3 0.199 0.384 0.217
N1 0.802 0.320 0.075
N2 0.198 0.680 0.925
```

Values from the calculation:
Calculated total energy, eV per atom: -6.6244
Formation energy (no corrections), eV per atom: -1.3121
Space-group type: C2/m
Energy above the lowest structure with this stoichiometry, meV per atom: 0



Below is a geometry-optimized KHfIn structure, with properties calculated at the GGA-PBE level.

```
data_KHfIn
_cell_length_a 5.492
_cell_length_b 5.492
_cell_length_c 6.195
_cell_angle_alpha 90.00
_cell_angle_beta 90.00
_cell_angle_gamma 120.00
_symmetry_space_group_name_H-M 'P 1'
_symmetry_Int_Tables_number 1
loop_
_symmetry_equiv_pos_as_xyz
'x,y,z'
loop_
_atom_site_label
_atom_site_fract_x
_atom_site_fract_y
_atom_site_fract_z
K1 0.000 0.000 0.000
K2 0.000 0.000 0.500
Hf1 0.333 0.667 0.250
Hf2 0.667 0.333 0.750
In1 0.333 0.667 0.750
In2 0.667 0.333 0.250
```

Values from the calculation:
Calculated total energy, eV per atom: -4.0348
Space-group type: P6_3/mmc
ΔE_f, meV/atom: 561.7
Energy above the lowest structure with this stoichiometry, meV per atom: 552



Below is a geometry-optimized ZnTcRu structure, with properties calculated at the GGA-PBE level.

```
data_ZnTcRu
_cell_length_a 2.755
_cell_length_b 2.755
_cell_length_c 6.575
_cell_angle_alpha 90.00
_cell_angle_beta 90.00
_cell_angle_gamma 120.00
_symmetry_space_group_name_H-M 'P 1'
_symmetry_Int_Tables_number 1
loop_
_symmetry_equiv_pos_as_xyz
'x,y,z'
loop_
_atom_site_label
_atom_site_fract_x
_atom_site_fract_y
_atom_site_fract_z
Zn1 0.333 0.667 0.669
Ru1 0.000 0.000 0.011
Tc1 0.667 0.333 0.320
```

Values from the calculation:
Calculated total energy, eV per atom: -6.9649
Space-group type: P3m1
ΔE_f, meV/atom: 7.1
Energy above the lowest structure with this stoichiometry, meV per atom: 49



Below is a geometry-optimized ErTm2O structure, with properties calculated at the GGA-PBE level.

```
data_ErTm2O
_cell_length_a 3.158
_cell_length_b 3.158
_cell_length_c 8.504
_cell_angle_alpha 90.00
_cell_angle_beta 90.00
_cell_angle_gamma 90.00
_symmetry_space_group_name_H-M 'P 1'
_symmetry_Int_Tables_number 1
loop_
_symmetry_equiv_pos_as_xyz
'x,y,z'
loop_
_atom_site_label
_atom_site_fract_x
_atom_site_fract_y
_atom_site_fract_z
Er1 0.500 0.500 0.500
Tm1 0.000 0.000 0.820
Tm2 0.000 0.000 0.180
O1 0.500 0.500 0.000
```

Values from the calculation:
Calculated total energy, eV per atom: -5.4452
Formation energy (no corrections), eV per atom: -0.8292
Space-group type: P4/mmm
Energy above the lowest structure with this stoichiometry, meV per atom: 539



Below is a geometry-optimized Hf2TiRe2 structure, with properties calculated at the GGA-PBE level.

```
data_Hf2TiRe2
_cell_length_a 6.666
_cell_length_b 6.666
_cell_length_c 4.256
_cell_angle_alpha 90.00
_cell_angle_beta 90.00
_cell_angle_gamma 90.00
_symmetry_space_group_name_H-M 'P 1'
_symmetry_Int_Tables_number 1
loop_
_symmetry_equiv_pos_as_xyz
'x,y,z'
loop_
_atom_site_label
_atom_site_fract_x
_atom_site_fract_y
_atom_site_fract_z
Hf1 0.324 0.176 0.500
Hf2 0.676 0.824 0.500
Hf3 0.176 0.676 0.500
Hf4 0.824 0.324 0.500
Re1 0.866 0.634 0.000
Re2 0.366 0.866 0.000
Re3 0.634 0.134 0.000
Re4 0.134 0.366 0.000
Ti1 0.500 0.500 0.000
Ti2 0.000 0.000 0.000
```

Values from the calculation:
Calculated total energy, eV per atom: -10.5689
Space-group type: P4/mbm
ΔE_f, meV/atom: -29.3



Below is a geometry-optimized SiIrBr2 structure, with properties calculated at the GGA-PBE level.

```
data_SiIrBr2
_cell_length_a 4.770
_cell_length_b 4.770
_cell_length_c 4.770
_cell_angle_alpha 121.50
_cell_angle_beta 121.50
_cell_angle_gamma 87.41
_symmetry_space_group_name_H-M 'P 1'
_symmetry_Int_Tables_number 1
loop_
_symmetry_equiv_pos_as_xyz
'x,y,z'
loop_
_atom_site_label
_atom_site_fract_x
_atom_site_fract_y
_atom_site_fract_z
Br1 0.250 0.750 0.500
Br2 0.000 0.000 0.000
Si1 0.750 0.250 0.500
Ir1 0.500 0.500 0.000
```

Values from the calculation:
Calculated total energy, eV per atom: -3.4128
Formation energy (no corrections), eV per atom: 0.9946
Space-group type: I-4m2
Energy above the lowest structure with this stoichiometry, meV per atom: 1167